RbGeSe2 after structural relaxation, computed with GGA-PBE.

- symmetry = R-3m, No. 166
- DFT total energy (eV per cell) = -11.79
- N(E_F) (states/eV/f.u.) = 3.0
- crystal system = trigonal

a = 11.157 Å, b = 11.157 Å, c = 11.157 Å
α = 17.17°, β = 17.17°, γ = 17.17°
Fractional coordinates of all 4 atoms:
Ge  0.000  0.000  0.000
Se  0.916  0.916  0.916
Se  0.084  0.084  0.084
Rb  0.500  0.500  0.500


RbGeSe after structural relaxation, computed with GGA-PBE.

- symmetry = I4mm, No. 107
- polymorph energy (0 for the lowest one) (meV per atom) = 202
- N(E_F) (states/eV/f.u.) = 2.0
- crystal system = tetragonal

a = 4.935 Å, b = 4.935 Å, c = 5.804 Å
α = 115.16°, β = 115.16°, γ = 90.00°
Fractional coordinates of all 3 atoms:
Ge  0.323  0.323  0.645
Rb  0.958  0.958  0.916
Se  0.569  0.569  0.139


RbGeSe2 after structural relaxation, computed with GGA-PBE.

- symmetry = I-42d, No. 122
- DFT total energy (eV per cell) = -29.77
- N(E_F) (states/eV/f.u.) = 0.5
- crystal system = tetragonal

a = 7.621 Å, b = 7.621 Å, c = 7.368 Å
α = 58.86°, β = 58.86°, γ = 90.00°
Fractional coordinates of all 8 atoms:
Ge  0.500  0.500  0.000
Ge  0.250  0.750  0.500
Se  0.518  0.125  0.250
Se  0.232  0.625  0.250
Se  0.375  0.482  0.750
Se  0.875  0.768  0.750
Rb  0.000  0.000  0.000
Rb  0.750  0.250  0.500


What is the N(E_F) in the second record? 2.0 states/eV/f.u.


What is the N(E_F) in the second record? 2.0 states/eV/f.u.


Which of these has the highest N(E_F)? number 1


N(E_F) of number 2 (RbGeSe)? 2.0 states/eV/f.u.